The following is a DFT calculation (GGA-PBEsol) of Sr4GeAs4 after structural relaxation.

Properties
Crystal system   cubic
Energy of formation from the pure elements   -8.89 eV per formula unit
Symmetry   P-43n

a b c (Å): 12.727 12.727 12.727
angles (deg): 90.00 90.00 90.00
Fractional positions:
Sr (0.098, 0.131, 0.643)
Sr (0.098, 0.869, 0.357)
Sr (0.131, 0.357, 0.902)
Sr (0.131, 0.643, 0.098)
Sr (0.143, 0.143, 0.143)
Sr (0.143, 0.369, 0.402)
Sr (0.143, 0.631, 0.598)
Sr (0.143, 0.857, 0.857)
Sr (0.357, 0.098, 0.869)
Sr (0.357, 0.357, 0.643)
Sr (0.357, 0.643, 0.357)
Sr (0.357, 0.902, 0.131)
Sr (0.369, 0.402, 0.143)
Sr (0.369, 0.598, 0.857)
Sr (0.402, 0.143, 0.369)
Sr (0.402, 0.857, 0.631)
Sr (0.598, 0.143, 0.631)
Sr (0.598, 0.857, 0.369)
Sr (0.631, 0.402, 0.857)
Sr (0.631, 0.598, 0.143)
Sr (0.643, 0.098, 0.131)
Sr (0.643, 0.357, 0.357)
Sr (0.643, 0.643, 0.643)
Sr (0.643, 0.902, 0.869)
Sr (0.857, 0.143, 0.857)
Sr (0.857, 0.369, 0.598)
Sr (0.857, 0.631, 0.402)
Sr (0.857, 0.857, 0.143)
Sr (0.869, 0.357, 0.098)
Sr (0.869, 0.643, 0.902)
Sr (0.902, 0.131, 0.357)
Sr (0.902, 0.869, 0.643)
Ge (0.000, 0.000, 0.000)
Ge (0.000, 0.500, 0.250)
Ge (0.000, 0.500, 0.750)
Ge (0.250, 0.000, 0.500)
Ge (0.500, 0.250, 0.000)
Ge (0.500, 0.500, 0.500)
Ge (0.500, 0.750, 0.000)
Ge (0.750, 0.000, 0.500)
As (0.109, 0.380, 0.645)
As (0.109, 0.620, 0.355)
As (0.111, 0.111, 0.889)
As (0.111, 0.889, 0.111)
As (0.120, 0.391, 0.145)
As (0.120, 0.609, 0.855)
As (0.145, 0.120, 0.391)
As (0.145, 0.880, 0.609)
As (0.355, 0.109, 0.620)
As (0.355, 0.891, 0.380)
As (0.380, 0.355, 0.891)
As (0.380, 0.645, 0.109)
As (0.389, 0.389, 0.389)
As (0.389, 0.611, 0.611)
As (0.391, 0.145, 0.120)
As (0.391, 0.855, 0.880)
As (0.609, 0.145, 0.880)
As (0.609, 0.855, 0.120)
As (0.611, 0.389, 0.611)
As (0.611, 0.611, 0.389)
As (0.620, 0.355, 0.109)
As (0.620, 0.645, 0.891)
As (0.645, 0.109, 0.380)
As (0.645, 0.891, 0.620)
As (0.855, 0.120, 0.609)
As (0.855, 0.880, 0.391)
As (0.880, 0.391, 0.855)
As (0.880, 0.609, 0.145)
As (0.889, 0.111, 0.111)
As (0.889, 0.889, 0.889)
As (0.891, 0.380, 0.355)
As (0.891, 0.620, 0.645)



The following is a DFT calculation (GGA-PBEsol) of SrZnGe2As after structural relaxation.

Properties
Crystal system   tetragonal
DOS(E_F)   2.5 states/eV per cell
Energy of formation from the pure elements   1.60 eV per formula unit
Symmetry   P4/mmm

a b c (Å): 4.961 4.961 5.720
angles (deg): 90.00 90.00 90.00
Fractional positions:
Sr (0.000, 0.000, 0.000)
Zn (0.500, 0.500, 0.000)
Ge (0.000, 0.500, 0.500)
Ge (0.500, 0.000, 0.500)
As (0.000, 0.000, 0.500)



The following is a DFT calculation (GGA-PBEsol) of TcGeAs after structural relaxation.

Properties
Crystal system   monoclinic
DOS(E_F)   1.1 states/eV per cell
Energy of formation from the pure elements   -0.90 eV per formula unit
Symmetry   Cm

a b c (Å): 4.758 4.758 7.624
angles (deg): 117.41 117.41 38.67
Fractional positions:
Tc (0.000, 0.000, 0.000)
Tc (0.693, 0.693, 0.598)
Ge (0.444, 0.444, 0.682)
Ge (0.987, 0.987, 0.331)
As (0.244, 0.244, 0.899)
As (0.695, 0.695, 0.263)



The following is a DFT calculation (GGA-PBEsol) of Ge4Te7As2 after structural relaxation.

Properties
Crystal system   trigonal
DOS(E_F)   0.1 states/eV per cell
Raw formation energy   -0.061 eV/atom
Symmetry   R-3m

a b c (Å): 23.209 23.209 23.209
angles (deg): 10.20 10.20 10.20
Fractional positions:
Ge (0.075, 0.075, 0.075)
Ge (0.308, 0.308, 0.308)
Ge (0.692, 0.692, 0.692)
Ge (0.925, 0.925, 0.925)
Te (0.000, 0.000, 0.000)
Te (0.148, 0.148, 0.148)
Te (0.234, 0.234, 0.234)
Te (0.383, 0.383, 0.383)
Te (0.617, 0.617, 0.617)
Te (0.766, 0.766, 0.766)
Te (0.852, 0.852, 0.852)
As (0.459, 0.459, 0.459)
As (0.541, 0.541, 0.541)



The following is a DFT calculation (GGA-PBEsol) of Ge2Te5As2 after structural relaxation.

Properties
Crystal system   trigonal
DOS(E_F)   0.2 states/eV per cell
Raw formation energy   -0.050 eV/atom
Symmetry   P-3m1

a b c (Å): 4.103 4.103 16.313
angles (deg): 90.00 90.00 120.00
Fractional positions:
Ge (0.333, 0.667, 0.107)
Ge (0.667, 0.333, 0.893)
Te (0.000, 0.000, 0.000)
Te (0.333, 0.667, 0.418)
Te (0.333, 0.667, 0.788)
Te (0.667, 0.333, 0.212)
Te (0.667, 0.333, 0.582)
As (0.000, 0.000, 0.323)
As (0.000, 0.000, 0.677)



The following is a DFT calculation (GGA-PBEsol) of GeTe7As4 after structural relaxation.

Properties
Crystal system   trigonal
DOS(E_F)   0.1 states/eV per cell
Raw formation energy   -0.030 eV/atom
Symmetry   P-3m1

a b c (Å): 4.070 4.070 22.412
angles (deg): 90.00 90.00 120.00
Fractional positions:
Ge (0.000, 0.000, 0.000)
Te (0.000, 0.000, 0.229)
Te (0.000, 0.000, 0.500)
Te (0.000, 0.000, 0.771)
Te (0.333, 0.667, 0.651)
Te (0.333, 0.667, 0.922)
Te (0.667, 0.333, 0.078)
Te (0.667, 0.333, 0.349)
As (0.333, 0.667, 0.159)
As (0.333, 0.667, 0.420)
As (0.667, 0.333, 0.580)
As (0.667, 0.333, 0.841)



The following is a DFT calculation (GGA-PBEsol) of TlGeAs3 after structural relaxation.

Properties
Crystal system   cubic
DOS(E_F)   4.2 states/eV per cell
Energy of formation from the pure elements   2.93 eV per formula unit
Symmetry   Pm-3m

a b c (Å): 4.964 4.964 4.964
angles (deg): 90.00 90.00 90.00
Fractional positions:
Tl (0.000, 0.000, 0.000)
Ge (0.500, 0.500, 0.500)
As (0.000, 0.500, 0.500)
As (0.500, 0.000, 0.500)
As (0.500, 0.500, 0.000)



The following is a DFT calculation (GGA-PBEsol) of ZnGeAs2 after structural relaxation.

Properties
Crystal system   trigonal
DOS(E_F)   0.7 states/eV per cell
Energy of formation from the pure elements   -0.27 eV per formula unit
Symmetry   R3m
Offset from the most stable computed form   0.0608 eV/atom

a b c (Å): 6.875 6.875 6.875
angles (deg): 33.92 33.92 33.92
Fractional positions:
Zn (0.000, 0.000, 0.000)
Ge (0.485, 0.485, 0.485)
As (0.361, 0.361, 0.361)
As (0.871, 0.871, 0.871)



Sequential calculated density output: 4657; 4404; 8664; 6507; 6516; 6537; 6811; 5301 kg/m3